This record from Alexandria via LeMat-Bulk describes YCu2As after structural relaxation. The functional is PBE-GGA.

```
8
Lattice="4.230 0.000 0.000 0.000 4.230 0.000 2.115 2.115 8.792" Properties=species:S:1:pos:R:3 pbc="T T T"
As 2.115 4.230 4.396
As 2.115 2.115 0.000
Cu 1.561 3.173 2.198
Cu 2.669 1.058 2.198
Cu 5.288 4.785 6.594
Cu 3.173 3.676 6.594
Y 4.230 2.115 4.396
Y 0.000 0.000 0.000
```

## Properties
SG: I-42d, No. 122
Formation energy from the elements, meV/atom: -264
Density of states at the Fermi level, states/eV per cell: 3.66